## BeCdAs2 (PBE)

Data for an optimized crystal structure of BeCdAs2.

Total moment   0.0000 μB/atom
DFT total energy   -3.2699 eV per atom
D(E_F)   0.95 states/eV/cell

Unit cell a=9.9652 b=9.9652 c=9.9652 alpha=17.14 beta=17.14 gamma=17.14
Atoms (fractional coordinates):
Be: 0.0000 0.0000 0.0000
Cd: 0.5000 0.5000 0.5000
As: 0.2739 0.2739 0.2739
As: 0.7261 0.7261 0.7261